{"formula": "CaTl2Ni", "functional": "PBE", "state": "optimized geometry", "magmom_total_mub_per_fu": 0.0, "mass_density_g_cm3": 8.97, "delta_e_f_ev_per_atom": 0.06, "lattice_angstrom": [[4.535, 0.000, 0.000], [0.000, 4.533, 0.000], [0.000, 0.000, 4.569]], "species": ["Ni", "Tl", "Tl", "Ca"], "frac_coords": [[0.000, 0.500, 0.500], [0.000, 0.000, 0.000], [0.500, 0.500, 0.000], [0.500, 0.000, 0.500]]}


{"formula": "CaTl2Ni", "functional": "PBE", "state": "optimized geometry", "magmom_total_mub_per_fu": 0.0, "mass_density_g_cm3": 8.33, "delta_e_f_ev_per_atom": -0.03, "lattice_angstrom": [[-1.797, 3.113, 1.403], [-1.882, 0.563, -3.658], [-5.750, -3.348, 0.062]], "species": ["Ni", "Tl", "Tl", "Ca"], "frac_coords": [[0.500, 0.970, 0.685], [0.000, 0.819, 0.988], [0.500, 0.183, 0.259], [0.000, 0.528, 0.568]]}


{"formula": "CaTl2Ni", "functional": "PBE", "state": "optimized geometry", "magmom_total_mub_per_fu": 0.0, "mass_density_g_cm3": 9.48, "delta_e_f_ev_per_atom": 0.01, "lattice_angstrom": [[1.754, -4.369, -1.713], [2.815, -2.902, 2.959], [-1.845, -4.308, 1.772]], "species": ["Ni", "Tl", "Tl", "Ca"], "frac_coords": [[0.500, 0.500, 0.500], [0.250, 0.250, 0.250], [0.750, 0.750, 0.750], [0.000, 0.000, 0.000]]}


{"formula": "CaTlNi3", "functional": "PBE", "state": "optimized geometry", "magmom_total_mub_per_fu": 0.0, "mass_density_g_cm3": 6.27, "de_polymorph_mev_per_atom": 0, "delta_e_f_ev_per_atom": 0.70, "lattice_angstrom": [[4.812, 0.000, 0.000], [0.000, 4.812, 0.000], [0.000, 0.000, 4.812]], "species": ["Ni", "Ni", "Ni", "Tl", "Ca"], "frac_coords": [[0.000, 0.500, 0.000], [0.000, 0.000, 0.500], [0.500, 0.000, 0.000], [0.000, 0.000, 0.000], [0.500, 0.500, 0.500]]}